(1)
Density functional theory data (PBE) for an optimized crystal structure of Y2CrSi.

Cell lengths 6.860, 6.860, 6.860 Å; angles 90.00, 90.00, 90.00 degrees
Space group F-43m (No. 216)
Symmetry-distinct sites (fractional):
Y  0.000  0.000  0.000 [4 per cell]
Y  0.250  0.250  0.250 [4 per cell]
Cr  0.250  0.250  0.750 [4 per cell]
Si  0.000  0.000  0.500 [4 per cell]

Properties
Magnetization (μB/cell): 7.98
N(E_F) (states/eV per cell): 7.30
Raw formation energy (eV/atom): 0.15
Total energy (eV/f.u.): -27.37

---

(2)
Density functional theory data (PBE) for an optimized crystal structure of TaP2Br.

Cell lengths 3.207, 3.207, 7.738 Å; angles 90.00, 90.00, 90.00 degrees
Space group P4mm (No. 99)
Symmetry-distinct sites (fractional):
Ta  0.000  0.000  0.000 [1 per cell]
P  0.000  0.000  0.681 [1 per cell]
P  0.500  0.500  0.828 [1 per cell]
Br  0.500  0.500  0.236 [1 per cell]

Properties
Magnetization (μB/cell): 0.00
N(E_F) (states/eV per cell): 0.85
Raw formation energy (eV/atom): -0.14
Total energy (eV/f.u.): -24.91

---

(3)
Density functional theory data (PBE) for an optimized crystal structure of Cs2NpTe4Pd2.

Cell lengths 16.152, 4.457, 8.980 Å; angles 90.00, 107.32, 90.00 degrees
Space group C2/m (No. 12)
Symmetry-distinct sites (fractional):
Cs  0.137  0.000  0.070 [4 per cell]
Np  0.000  0.000  0.500 [2 per cell]
Te  0.014  0.500  0.274 [4 per cell]
Te  0.194  0.000  0.658 [4 per cell]
Pd  0.180  0.500  0.486 [4 per cell]

Properties
Magnetization (μB/cell): 5.42
N(E_F) (states/eV per cell): 20.01
Raw formation energy (eV/atom): -0.72
Total energy (eV/f.u.): -44.12

---

(4)
Density functional theory data (PBE) for an optimized crystal structure of TcAgMo3.

Cell lengths 4.691, 4.691, 4.691 Å; angles 90.00, 90.00, 90.00 degrees
Space group Pm-3m (No. 221)
Symmetry-distinct sites (fractional):
Tc  0.000  0.000  0.000 [1 per cell]
Ag  0.500  0.500  0.500 [1 per cell]
Mo  0.000  0.000  0.500 [3 per cell]

Properties
Magnetization (μB/cell): 0.00
Formation enthalpy at 0 K (eV per atom): 1.5892
N(E_F) (states/eV per cell): 6.02
Total energy (eV/f.u.): -37.76

---

(5)
Density functional theory data (PBE) for an optimized crystal structure of PmMg2Hg3.

Cell lengths 4.8864, 4.8864, 13.7650 Å; angles 90.00, 90.00, 120.00 degrees
Space group P6_3/mmc (No. 194)
Symmetry-distinct sites (fractional):
Pm  0.0000  0.0000  0.2500 [2 per cell]
Mg  0.3333  0.6667  0.0842 [4 per cell]
Hg  0.0000  0.0000  0.0000 [2 per cell]
Hg  0.3333  0.6667  0.6366 [4 per cell]

Properties
Magnetization (μB/cell): 0.00
Formation enthalpy at 0 K (eV per atom): -0.3379
N(E_F) (states/eV per cell): 8.19
Total energy (eV/f.u.): -10.87

---

(6)
Density functional theory data (PBE) for an optimized crystal structure of Ga2PPd6.

Cell lengths 6.7272, 6.7272, 3.4290 Å; angles 90.00, 90.00, 120.00 degrees
Space group P-62m (No. 189)
Symmetry-distinct sites (fractional):
Ga  0.3333  0.6667  0.0000 [2 per cell]
P  0.0000  0.0000  0.5000 [1 per cell]
Pd  0.0000  0.3977  0.5000 [3 per cell]
Pd  0.0000  0.7472  0.0000 [3 per cell]

Properties
Magnetization (μB/cell): 0.00
Formation enthalpy at 0 K (eV per atom): -0.6039
N(E_F) (states/eV per cell): 1.70
Total energy (eV/f.u.): -48.06

---

(7)
Density functional theory data (PBE) for an optimized crystal structure of CeYTe2.

Cell lengths 7.652, 7.652, 7.652 Å; angles 90.00, 90.00, 90.00 degrees
Space group Fm-3m (No. 225)
Symmetry-distinct sites (fractional):
Ce  0.000  0.000  0.000 [4 per cell]
Y  0.000  0.000  0.500 [4 per cell]
Te  0.250  0.250  0.250 [8 per cell]

Properties
Magnetization (μB/cell): 8.32
N(E_F) (states/eV per cell): 27.10
Raw formation energy (eV/atom): -1.20
Total energy (eV/f.u.): -23.50

---

(8)
Density functional theory data (PBE) for an optimized crystal structure of AlPb2N.

Cell lengths 6.131, 6.131, 11.000 Å; angles 90.00, 90.00, 90.00 degrees
Space group I-42d (No. 122)
Symmetry-distinct sites (fractional):
Al  0.000  0.000  0.000 [4 per cell]
Pb  0.189  0.250  0.625 [8 per cell]
N  0.000  0.000  0.500 [4 per cell]

Properties
Magnetization (μB/cell): 0.00
N(E_F) (states/eV per cell): 3.16
Raw formation energy (eV/atom): 0.65
Total energy (eV/f.u.): -16.88